Sc3AuO: relaxed, PBE-GGA.

```
Sc3AuO
1.0
4.381 0.000 0.000
0.000 4.381 0.000
0.000 0.000 4.381
Sc Au O
3 1 1
direct
0.000 0.000 0.500
0.000 0.500 0.000
0.500 0.000 0.000
0.500 0.500 0.500
0.000 0.000 0.000
```

Computed properties:
- Density of states at the Fermi level: 1.31 states/eV/atom
- M_tot: 0.00 Bohr magnetons per cell
- E_form (uncorrected): -1603 meV/atom
- Space-group type: Pm-3m, No. 221